(1)
Entry from Alexandria: a relaxed structure of AlOsSe2 (PBEsol).

Summary:
Uncorrected formation energy, eV per atom: 0.23
E_tot, eV/atom: -5.7686
Space group: R-3m

abc: 3.6581 3.6581 7.8413
angles: 76.51 76.51 60.00
Last column: nearest neighbours and their distance in Å.
Positions (direct):
Os (0.5000, 0.5000, 0.5000)  6 Se 2.46
Al (0.0000, 0.0000, 0.0000)  2 Se 2.51
Se (0.8892, 0.8892, 0.3325)  3 Os 2.46, 1 Al 2.51
Se (0.1108, 0.1108, 0.6675)  3 Os 2.46, 1 Al 2.51

(2)
Entry from Alexandria: a relaxed structure of AlOsSe (PBEsol).

Summary:
Uncorrected formation energy, eV per atom: 0.16
Energy relative to the lowest polymorph listed for this composition, meV per atom: 63
E_tot, eV/atom: -6.5554
Space group: I4mm

abc: 2.9517 2.9517 5.8464
angles: 104.62 104.62 90.00
Last column: nearest neighbours and their distance in Å.
Positions (direct):
Os (0.6649, 0.6649, 0.3298)  4 Al 2.61, 4 Se 2.64
Al (0.0218, 0.0218, 0.0436)  4 Os 2.61
Se (0.3133, 0.3133, 0.6266)  4 Os 2.64, 4 Se 2.95

What is the formula in the first record? AlOsSe2

Among the records above, which one has the highest E_tot? AlOsSe2

What is the uncorrected formation energy in the second record? 0.16 eV per atom

Which of these has the lowest E_tot? AlOsSe